# LiCaMg2 (SCAN, PBEsol geometry)
# E_tot ... -44.10 eV for the cell shown
# Density of states at the Fermi level ... 4.22 states/eV/cell
# Energy above the lowest structure with this stoichiometry ... 38 meV/atom
# M_tot ... 0.00 μB/f.u.
# Energy of formation ... -0.01 eV per atom
data_LiCaMg2
_symmetry_space_group_name_H-M 'C 1 2/m 1'
_symmetry_Int_Tables_number 12
_cell_length_a 11.4305
_cell_length_b 3.8182
_cell_length_c 5.2114
_cell_angle_alpha 90.00
_cell_angle_beta 116.96
_cell_angle_gamma 90.00
loop_
_symmetry_equiv_pos_as_xyz
'x,y,z'
'-x,-y,-z'
'-x,y,-z'
'x,-y,z'
'x+1/2,y+1/2,z'
'-x+1/2,-y+1/2,-z'
'-x+1/2,y+1/2,-z'
'x+1/2,-y+1/2,z'
loop_
_atom_site_label
_atom_site_type_symbol
_atom_site_fract_x
_atom_site_fract_y
_atom_site_fract_z
_atom_site_occupancy
Li1 Li 0.0000 0.0000 0.0000 1
Ca1 Ca 0.0000 0.5000 0.5000 1
Mg1 Mg 0.2260 0.5000 0.2259 1